(1)
{
  "formula": "Li2TlAu2",
  "functional": "PBE-GGA",
  "state": "optimized geometry",
  "lattice": [[7.657, 0.000, 0.000], [0.000, 7.657, 0.000], [0.000, 0.000, 3.138]],
  "species": ["Li", "Li", "Li", "Li", "Tl", "Tl", "Au", "Au", "Au", "Au"],
  "frac_coords": [[0.158, 0.342, 0.000], [0.342, 0.842, 0.000], [0.658, 0.158, 0.000], [0.842, 0.658, 0.000], [0.000, 0.000, 0.500], [0.500, 0.500, 0.500], [0.135, 0.635, 0.500], [0.365, 0.135, 0.500], [0.635, 0.865, 0.500], [0.865, 0.365, 0.500]],
  "e_tot_ry_per_atom": -0.2161
}

---

(2)
{
  "formula": "Dy2ErN3",
  "functional": "PBE-GGA",
  "state": "optimized geometry",
  "lattice": [[3.446, 0.000, 0.000], [-1.723, 2.984, 0.000], [0.000, 0.000, 8.434]],
  "species": ["Dy", "Dy", "Er", "N", "N", "N"],
  "frac_coords": [[0.333, 0.667, 0.332], [0.667, 0.333, 0.668], [0.000, 0.000, 0.000], [0.000, 0.000, 0.500], [0.333, 0.667, 0.836], [0.667, 0.333, 0.164]],
  "e_tot_ry_per_atom": -0.6018
}

---

(3)
{
  "formula": "Mg2ReGe",
  "functional": "PBE-GGA",
  "state": "optimized geometry",
  "lattice": [[6.376, 0.000, 0.000], [0.000, 6.376, 0.000], [0.000, 0.000, 6.376]],
  "species": ["Mg", "Mg", "Mg", "Mg", "Mg", "Mg", "Mg", "Mg", "Re", "Re", "Re", "Re", "Ge", "Ge", "Ge", "Ge"],
  "frac_coords": [[0.000, 0.000, 0.000], [0.000, 0.500, 0.500], [0.250, 0.250, 0.250], [0.250, 0.750, 0.750], [0.500, 0.000, 0.500], [0.500, 0.500, 0.000], [0.750, 0.250, 0.750], [0.750, 0.750, 0.250], [0.250, 0.250, 0.750], [0.250, 0.750, 0.250], [0.750, 0.250, 0.250], [0.750, 0.750, 0.750], [0.000, 0.000, 0.500], [0.000, 0.500, 0.000], [0.500, 0.000, 0.000], [0.500, 0.500, 0.500]],
  "e_tot_ry_per_atom": -0.3446
}